First-principles (PBE-GGA) data for an optimized crystal structure of ZnSbSI2, as listed in Alexandria via LeMat-Bulk.

Energy above the most stable polymorph in this dataset in kJ per mole of atoms: 7.6
Symmetry: P4/mmm (123)
D(E_F) in states/eV per cell: 3.908

Lattice parameters (Å, degrees): 5.3591 5.3591 5.5625 90.00 90.00 90.00
Last column: magnetic moment on the atom in μB.
Sites, in units of the cell vectors:
I 0.0000 0.5000 0.0000  0.05
I 0.5000 0.0000 0.0000  0.05
Sb 0.0000 0.0000 0.5000  -0.09
Zn 0.0000 0.0000 0.0000  0.00
S 0.5000 0.5000 0.5000  0.57



First-principles (PBE-GGA) data for an optimized crystal structure of VGe2Mo, as listed in Alexandria via LeMat-Bulk.

Energy above the most stable polymorph in this dataset in kJ per mole of atoms: 14.3
Energy relative to the elements in eV/atom: 0.043
Symmetry: R3m (160)
D(E_F) in states/eV per cell: 3.942

Lattice parameters (Å, degrees): 3.0323 3.0323 7.8649 78.89 78.89 60.00
Sites, in units of the cell vectors:
V 0.5011 0.5011 0.4966
Ge 0.0843 0.0843 0.7472
Ge 0.2489 0.2489 0.2534
Mo 0.6657 0.6657 0.0029



First-principles (PBE-GGA) data for an optimized crystal structure of KCd2GeP, as listed in Alexandria via LeMat-Bulk.

Energy relative to the elements in eV/atom: 0.419
Symmetry: P4/mmm (123)
D(E_F) in states/eV per cell: 2.716

Lattice parameters (Å, degrees): 5.0740 5.9589 5.0740 90.00 90.00 90.00
Last column: magnetic moment on the atom in μB.
Sites, in units of the cell vectors:
P 0.0000 0.0000 0.0000  0.08
Ge 0.5000 0.5000 0.5000  0.54
K 0.0000 0.5000 0.0000  0.03
Cd 0.0000 0.0000 0.5000  -0.03
Cd 0.5000 0.0000 0.0000  0.02



First-principles (PBE-GGA) data for an optimized crystal structure of ZrTlF3, as listed in Alexandria via LeMat-Bulk.

Energy above the most stable polymorph in this dataset in kJ per mole of atoms: 125.1
Symmetry: Pm-3m (221)
D(E_F) in states/eV per cell: 1.489

Lattice parameters (Å, degrees): 4.7013 4.7013 4.7013 90.00 90.00 90.00
Last column: magnetic moment on the atom in μB.
Sites, in units of the cell vectors:
Tl 0.0000 0.0000 0.0000  -0.07
Zr 0.5000 0.5000 0.5000  1.62
F 0.0000 0.5000 0.0000  0.00
F 0.0000 0.0000 0.5000  0.00
F 0.5000 0.0000 0.0000  -0.01



First-principles (PBE-GGA) data for an optimized crystal structure of Sr4LiCa2, as listed in Alexandria via LeMat-Bulk.

Energy above the most stable polymorph in this dataset in kJ per mole of atoms: 0.5
Energy relative to the elements in eV/atom: 0.085
Symmetry: I4/mmm (139)
D(E_F) in states/eV per cell: 8.056

Lattice parameters (Å, degrees): 5.9067 5.9067 10.5643 106.23 106.23 90.00
Sites, in units of the cell vectors:
Sr 0.3936 0.8936 0.7871
Sr 0.8936 0.3936 0.7871
Sr 0.6064 0.1064 0.2129
Sr 0.1064 0.6064 0.2129
Li 0.0000 0.0000 0.0000
Ca 0.7524 0.7524 0.5048
Ca 0.2476 0.2476 0.4952



First-principles (PBE-GGA) data for an optimized crystal structure of LaDy4Rh5, as listed in Alexandria via LeMat-Bulk.

Energy relative to the elements in eV/atom: -0.815
Symmetry: P4/mmm (123)
D(E_F) in states/eV per cell: 6.561

Lattice parameters (Å, degrees): 3.4166 3.4166 17.7109 90.00 90.00 90.00
Sites, in units of the cell vectors:
La 0.0000 0.0000 0.0000
Dy 0.0000 0.0000 0.2059
Dy 0.0000 0.0000 0.4021
Dy 0.0000 0.0000 0.5979
Dy 0.0000 0.0000 0.7941
Rh 0.5000 0.5000 0.1109
Rh 0.5000 0.5000 0.3046
Rh 0.5000 0.5000 0.5000
Rh 0.5000 0.5000 0.6954
Rh 0.5000 0.5000 0.8891